[1]
Material: Ba2Ni2Sn
Method: DFT, PBE
State: optimized geometry

The structure in POSCAR format:
```
Ba2Ni2Sn
1.0
7.459 0.000 0.000
0.000 7.459 0.000
0.000 0.000 4.788
Ba Ni Sn
4 4 2
Cartesian
1.377 2.352 0.000 Ba
2.352 6.081 0.000 Ba
5.107 1.377 0.000 Ba
6.081 5.107 0.000 Ba
0.842 4.571 2.394 Ni
2.887 0.842 2.394 Ni
4.571 6.617 2.394 Ni
6.617 2.887 2.394 Ni
0.000 0.000 2.394 Sn
3.729 3.729 2.394 Sn
```

Properties
energy of formation from the pure elements = -0.074 eV per atom
density of states at the Fermi level = 5.13 states/eV/f.u.

---

[2]
Material: Ba2Ni2Sn
Method: DFT, PBE
State: optimized geometry

The structure in POSCAR format:
```
Ba2Ni2Sn
1.0
4.440 0.000 0.000
-2.220 3.845 0.000
0.000 0.000 29.281
Ba Ni Sn
6 6 3
Cartesian
0.000 0.000 2.241 Ba
0.000 0.000 27.039 Ba
0.000 2.563 17.279 Ba
0.000 2.563 21.762 Ba
2.220 1.282 7.519 Ba
2.220 1.282 12.002 Ba
0.000 0.000 5.318 Ni
0.000 0.000 23.963 Ni
0.000 2.563 14.203 Ni
0.000 2.563 24.838 Ni
2.220 1.282 4.443 Ni
2.220 1.282 15.078 Ni
0.000 0.000 14.640 Sn
0.000 2.563 4.880 Sn
2.220 1.282 24.401 Sn
```

Properties
energy of formation from the pure elements = -0.244 eV per atom
density of states at the Fermi level = 5.22 states/eV/f.u.

---

[3]
Material: Ba2NiSn6
Method: DFT, PBE
State: optimized geometry

The structure in POSCAR format:
```
Ba2NiSn6
1.0
7.160 0.000 0.000
-3.580 6.201 0.000
0.000 0.000 5.970
Ba Ni Sn
2 1 6
Cartesian
0.000 4.134 1.845 Ba
3.580 2.067 4.125 Ba
0.000 0.000 2.985 Ni
0.000 1.934 4.771 Sn
-1.905 5.234 4.771 Sn
1.675 0.967 1.199 Sn
1.905 5.234 4.771 Sn
5.485 0.967 1.199 Sn
3.580 4.267 1.199 Sn
```

Properties
energy of formation from the pure elements = -0.443 eV per atom
density of states at the Fermi level = 4.48 states/eV/f.u.

---

[4]
Material: BaNi2Sn
Method: DFT, PBE
State: optimized geometry

The structure in POSCAR format:
```
BaNi2Sn
1.0
5.044 0.000 0.000
0.000 5.044 0.000
0.000 0.000 17.022
Ba Ni Sn
4 8 4
Cartesian
0.000 1.261 6.383 Ba
0.000 3.783 10.638 Ba
2.522 1.261 2.128 Ba
2.522 3.783 14.894 Ba
0.000 0.000 0.000 Ni
0.000 2.522 0.000 Ni
1.261 1.261 12.766 Ni
1.261 3.783 4.255 Ni
2.522 0.000 8.511 Ni
2.522 2.522 8.511 Ni
3.783 1.261 12.766 Ni
3.783 3.783 4.255 Ni
0.000 1.261 14.894 Sn
0.000 3.783 2.128 Sn
2.522 1.261 10.638 Sn
2.522 3.783 6.383 Sn
```

Properties
energy of formation from the pure elements = -0.043 eV per atom
density of states at the Fermi level = 5.76 states/eV/f.u.

---

[5]
Material: BaNiSn3
Method: DFT, PBE
State: optimized geometry

The structure in POSCAR format:
```
BaNiSn3
1.0
6.164 0.000 0.000
0.000 6.164 0.000
0.000 0.000 6.164
Ba Ni Sn
1 1 3
Cartesian
0.000 0.000 0.000 Ba
3.082 3.082 3.082 Ni
0.000 0.000 3.082 Sn
0.000 3.082 0.000 Sn
3.082 0.000 0.000 Sn
```

Properties
energy of formation from the pure elements = 1.604 eV per atom
density of states at the Fermi level = 8.88 states/eV/f.u.

---

[6]
Material: BaNiSn
Method: DFT, PBE
State: optimized geometry

The structure in POSCAR format:
```
BaNiSn
1.0
6.886 0.000 0.000
0.000 6.947 0.000
-4.447 0.000 7.069
Ba Ni Sn
4 4 4
Cartesian
-0.443 1.018 2.871 Ba
-2.667 2.455 6.406 Ba
5.105 4.491 0.663 Ba
2.882 5.928 4.198 Ba
1.192 4.136 2.411 Ni
-1.032 6.284 5.945 Ni
3.471 0.663 1.124 Ni
1.247 2.811 4.658 Ni
-0.621 4.499 4.177 Sn
1.602 5.921 0.642 Sn
0.837 1.025 6.427 Sn
3.060 2.448 2.892 Sn
```

Properties
energy of formation from the pure elements = -0.448 eV per atom
density of states at the Fermi level = 1.36 states/eV/f.u.

---

[7]
Material: BaNi3Sn
Method: DFT, PBE
State: optimized geometry

The structure in POSCAR format:
```
BaNi3Sn
1.0
4.952 0.000 0.000
0.000 4.952 0.000
0.000 0.000 4.952
Ba Ni Sn
1 3 1
Cartesian
0.000 0.000 0.000 Ba
0.000 0.000 2.476 Ni
0.000 2.476 0.000 Ni
2.476 0.000 0.000 Ni
2.476 2.476 2.476 Sn
```

Properties
energy of formation from the pure elements = 1.522 eV per atom
density of states at the Fermi level = 4.12 states/eV/f.u.

---

[8]
Material: BaNi3Sn3
Method: DFT, PBE
State: optimized geometry

The structure in POSCAR format:
```
BaNi3Sn3
1.0
3.465 2.000 8.135
-3.465 2.000 8.135
0.000 -4.001 8.135
Ba Ni Sn
2 6 6
Cartesian
0.000 0.000 3.762 Ba
0.000 0.000 20.641 Ba
-0.811 -2.675 9.095 Ni
-2.722 -0.635 15.309 Ni
-1.911 2.040 9.095 Ni
1.911 -2.040 15.309 Ni
2.722 0.635 9.095 Ni
0.811 2.675 15.309 Ni
-1.926 -0.474 9.606 Sn
-0.553 -1.905 14.798 Sn
1.373 -1.431 9.606 Sn
-1.373 1.431 14.798 Sn
0.553 1.905 9.606 Sn
1.926 0.474 14.798 Sn
```

Properties
energy of formation from the pure elements = -0.212 eV per atom
density of states at the Fermi level = 6.10 states/eV/f.u.

---

[9]
Material: BaNiSn2
Method: DFT, PBE
State: optimized geometry

The structure in POSCAR format:
```
BaNiSn2
1.0
7.504 0.000 0.000
0.000 7.504 0.000
0.000 0.000 7.504
Ba Ni Sn
4 4 8
Cartesian
0.000 0.000 0.000 Ba
0.000 3.752 3.752 Ba
3.752 0.000 3.752 Ba
3.752 3.752 0.000 Ba
0.000 0.000 3.752 Ni
0.000 3.752 0.000 Ni
3.752 0.000 0.000 Ni
3.752 3.752 3.752 Ni
1.876 1.876 1.876 Sn
1.876 1.876 5.628 Sn
1.876 5.628 1.876 Sn
1.876 5.628 5.628 Sn
5.628 1.876 1.876 Sn
5.628 1.876 5.628 Sn
5.628 5.628 1.876 Sn
5.628 5.628 5.628 Sn
```

Properties
energy of formation from the pure elements = 0.112 eV per atom
density of states at the Fermi level = 0.90 states/eV/f.u.

---

[10]
Material: BaNiSn3
Method: DFT, PBE
State: optimized geometry

The structure in POSCAR format:
```
BaNiSn3
1.0
5.184 0.000 0.000
0.000 5.184 0.000
0.000 0.000 5.184
Ba Ni Sn
1 1 3
Cartesian
0.000 0.000 0.000 Ba
2.592 2.592 2.592 Ni
0.000 2.592 2.592 Sn
2.592 0.000 2.592 Sn
2.592 2.592 0.000 Sn
```

Properties
energy of formation from the pure elements = -0.232 eV per atom
density of states at the Fermi level = 2.29 states/eV/f.u.

---

[11]
Material: BaNiSn2
Method: DFT, PBE
State: optimized geometry

The structure in POSCAR format:
```
BaNiSn2
1.0
4.698 0.000 0.000
0.000 18.914 0.000
0.000 0.000 4.859
Ba Ni Sn
4 4 8
Cartesian
0.000 2.715 0.000 Ba
0.000 16.199 0.000 Ba
2.349 6.742 0.000 Ba
2.349 12.172 0.000 Ba
0.000 8.195 2.430 Ni
0.000 10.719 2.430 Ni
2.349 1.262 2.430 Ni
2.349 17.652 2.430 Ni
0.000 0.000 2.430 Sn
0.000 5.607 2.430 Sn
0.000 9.457 0.000 Sn
0.000 13.307 2.430 Sn
2.349 0.000 0.000 Sn
2.349 3.850 2.430 Sn
2.349 9.457 2.430 Sn
2.349 15.064 2.430 Sn
```

Properties
energy of formation from the pure elements = -0.450 eV per atom
density of states at the Fermi level = 3.03 states/eV/f.u.

---

[12]
Material: BaNiSn
Method: DFT, PBE
State: optimized geometry

The structure in POSCAR format:
```
BaNiSn
1.0
4.138 0.000 0.000
2.034 4.406 0.000
0.222 0.455 10.708
Ba Ni Sn
2 2 2
Cartesian
1.160 0.844 2.165 Ba
5.235 4.018 8.543 Ba
3.190 3.165 6.280 Ni
3.204 1.696 4.428 Ni
1.131 1.312 6.293 Sn
5.263 3.549 4.414 Sn
```

Properties
energy of formation from the pure elements = -0.216 eV per atom
density of states at the Fermi level = 2.52 states/eV/f.u.

---

Q: Which formula does entry 4 have?
A: BaNi2Sn